1.
## BaCr2HgPd (PBE-GGA)

Data for a relaxed structure of BaCr2HgPd.

Summary:
ρ = 6.6 g/cm³
space-group type = P4/mmm (123)
energy relative to the elements = 0.461 eV/atom
energy = -4.87 eV per atom

Unit cell a=5.1041 b=5.3034 c=5.1041 alpha=90.00 beta=90.00 gamma=90.00
Site moments in Bohr magnetons follow the coordinates.
Fractional coordinates of all 5 atoms:
Cr  0.0000  0.0000  0.5000  3.92
Cr  0.5000  0.0000  0.0000  3.76
Hg  0.0000  0.5000  0.0000  -0.03
Pd  0.0000  0.0000  0.0000  0.16
Ba  0.5000  0.5000  0.5000  0.04


2.
## Ba2CrSnHg (PBE-GGA)

Data for a relaxed structure of Ba2CrSnHg.

Summary:
E above lowest polymorph = 0.0 kJ/mol of atoms
ρ = 4.7 g/cm³
space-group type = P4/mmm (123)
energy relative to the elements = 0.384 eV/atom
energy = -3.17 eV per atom

Unit cell a=6.5719 b=5.2812 c=6.5719 alpha=90.00 beta=90.00 gamma=90.00
Site moments in Bohr magnetons follow the coordinates.
Fractional coordinates of all 5 atoms:
Cr  0.5000  0.5000  0.5000  4.24
Hg  0.0000  0.0000  0.0000  0.00
Sn  0.0000  0.5000  0.0000  -0.02
Ba  0.0000  0.0000  0.5000  0.01
Ba  0.5000  0.0000  0.0000  0.01


Q: The highest ρ belongs to which entry?
A: BaCr2HgPd